Tm3Pb2O, optimized geometry, DFT PBE-GGA; total magnetic moment = 0.00 μB per cell; crystal system = monoclinic; energy above the most stable polymorph in this dataset = 153 meV/atom
1.0
-4.6565 4.2588 -0.2195
-2.0235 -2.5453 -6.4573
-1.4905 -6.0979 4.1233
O Tm Pb
2 6 4
Cartesian
-5.9175 2.1151 -5.0504
-0.7625 -0.4016 -1.6264
-2.3427 1.0436 -1.7009
-4.3373 0.6699 -4.9759
-0.9697 -1.7233 0.0526
-2.6437 -2.3902 -3.2073
-5.5267 -1.9942 0.6538
-7.2008 -2.6611 -2.6060
-3.1289 -3.9552 -0.3371
-3.5158 0.3733 1.0365
-4.6547 -4.7577 -3.5899
-5.0416 -0.4292 -2.2164

CaRu2Pb, optimized geometry, DFT PBE-GGA; total magnetic moment = 0.00 μB per cell; crystal system = tetragonal; energy of formation = 0.1847 eV/atom
1.0
3.1179 0.0000 0.0000
0.0000 3.0913 0.3596
0.0000 2.1354 8.6305
Ru Pb Ca
2 1 1
Cartesian
0.0000 3.0575 0.6569
1.5590 1.3462 1.9010
1.5590 3.8770 7.1317
0.0000 2.6505 4.1550

AcPr2Ir, optimized geometry, DFT PBE-GGA; total magnetic moment = 0.00 μB per cell; crystal system = trigonal; energy above the most stable polymorph in this dataset = 271 meV/atom; energy of formation = -0.1526 eV/atom
1.0
-2.4041 -3.2021 0.6849
1.1812 -2.9132 2.5731
-5.2248 3.3579 9.4069
Pr Ir Ac
2 1 1
Cartesian
-2.9309 -4.2019 6.2083
-3.5168 1.4446 6.4566
-3.2238 -1.3787 6.3325
0.0000 0.0000 0.0000

YMnW2, optimized geometry, DFT PBE-GGA; total magnetic moment = 0.00 μB per cell; crystal system = tetragonal; energy above the most stable polymorph in this dataset = 511 meV/atom; energy of formation = 0.8469 eV/atom
1.0
4.5776 0.0000 0.0000
0.0000 4.5776 0.0000
0.0000 0.0000 3.2093
Y W Mn
1 2 1
Cartesian
2.2888 0.0000 1.6046
0.0000 0.0000 0.0000
2.2888 2.2888 0.0000
0.0000 2.2888 1.6046

AlTc2Ir, optimized geometry, DFT PBE-GGA; total magnetic moment = 0.00 μB per cell; crystal system = trigonal; energy of formation = -0.2258 eV/atom
1.0
-8.5792 -0.3573 1.6538
-7.7491 -2.5809 3.1232
-7.6359 -0.0344 4.2611
Tc Ir Al
2 1 1
Cartesian
-5.9952 -0.7437 2.2611
-23.9282 -2.9681 9.0245
-18.0244 -2.2358 6.7979
-11.9589 -1.4834 4.5103

Cd2W, optimized geometry, DFT PBE-GGA; total magnetic moment = 0.00 μB per cell; crystal system = tetragonal; energy above the most stable polymorph in this dataset = 85 meV/atom; energy of formation = 0.5277 eV/atom
1.0
7.3199 0.0095 0.0000
6.2121 3.8718 0.0000
-6.7660 -1.9407 2.0090
Cd W
2 1
Cartesian
13.4459 3.8566 0.0000
9.1075 2.6123 0.0000
4.5107 1.2938 0.0000

Ac2Zn3Ir2, optimized geometry, DFT PBE-GGA; total magnetic moment = 0.00 μB per cell; crystal system = monoclinic; energy of formation = -0.4791 eV/atom
1.0
4.1861 0.0000 0.0000
-2.0930 5.3369 -0.3123
0.0000 -2.8502 7.0647
Ir Zn Ac
2 3 2
Cartesian
2.0930 1.5949 5.4580
0.0000 0.8919 1.2944
2.0930 0.4128 2.9940
0.0000 2.0739 3.7583
2.0930 0.0000 0.0000
2.0930 3.1968 1.4311
0.0000 -0.7101 5.3213

HoTlCuHg, optimized geometry, DFT PBE-GGA; total magnetic moment = 0.00 μB per cell; crystal system = cubic; energy of formation = -0.1334 eV/atom
1.0
-4.6923 1.4160 0.9908
-2.0222 -0.9952 4.4638
-0.8605 3.7116 3.2385
Ho Hg Tl Cu
1 1 1 1
Cartesian
0.0000 0.0000 0.0000
-5.6812 3.0994 6.5198
-3.7875 2.0663 4.3466
-1.8937 1.0331 2.1733